A relaxed ErTlSiSe4 crystal, computed with GGA-PBE.

Lattice parameters (Å, degrees): 6.6479 6.9190 9.0003 90.00 107.59 90.00
Closest atoms and distances in Å follow each position.
Atoms (fractional coordinates):
Er 0.2312 0.2500 0.0532  6 Se 2.86-2.96
Er 0.7688 0.7500 0.9468  6 Se 2.86-2.96
Tl 0.2415 0.2500 0.5626  6 Se 3.29-3.55
Tl 0.7585 0.7500 0.4374  6 Se 3.29-3.55
Si 0.2249 0.7500 0.8280  4 Se 2.26-2.30
Si 0.7751 0.2500 0.1720  4 Se 2.26-2.30
Se 0.0067 0.5054 0.2113  1 Si 2.30
Se 0.0067 0.9946 0.2113  1 Si 2.30
Se 0.4227 0.7500 0.6628  1 Si 2.26
Se 0.4308 0.7500 0.0813  1 Si 2.28
Se 0.5692 0.2500 0.9187  1 Si 2.28
Se 0.5773 0.2500 0.3372  1 Si 2.26
Se 0.9933 0.0054 0.7887  1 Si 2.30
Se 0.9933 0.4946 0.7887  1 Si 2.30

**Formation energy (no corrections)**: -0.971 eV/atom
**Fermi-level density of states**: 0.0 states/eV/f.u.
**DFT total energy**: -4.727 eV/atom